# PBE LaAl2Zn4Pd, optimized geometry
# ΔE_f in meV/atom: -311
# DOS(E_F) in states/eV/f.u.: 2.74
# E in eV per atom: -3.15
data_LaAl2Zn4Pd
_chemical_formula_sum 'La1 Al2 Zn4 Pd1'
_symmetry_space_group_name_H-M 'P 1'
_symmetry_Int_Tables_number 1
_cell_length_a 4.362
_cell_length_b 4.362
_cell_length_c 9.263
_cell_angle_alpha 76.38
_cell_angle_beta 76.38
_cell_angle_gamma 60.00
loop_
_symmetry_equiv_pos_as_xyz
'x,y,z'
loop_
_atom_site_label
_atom_site_type_symbol
_atom_site_fract_x
_atom_site_fract_y
_atom_site_fract_z
Zn1 Zn 0.597 0.597 0.208
Zn2 Zn 0.867 0.867 0.398
Zn3 Zn 0.133 0.133 0.602
Zn4 Zn 0.403 0.403 0.792
Al1 Al 0.759 0.759 0.724
Al2 Al 0.241 0.241 0.276
La1 La 0.000 0.000 0.000
Pd1 Pd 0.500 0.500 0.500